Record 1
A plane-wave DFT calculation with GGA-PBE was carried out for a geometry-optimized Be2Si2Mo structure.

a b c (Å): 4.5700 4.5894 6.6305
angles (deg): 69.19 68.75 91.34
With the nearest neighbours (Å) after each atom.
Element x y z (fractional)
Be 0.2352 0.5969 0.5181  2 Be 2.22-2.43, 2 Si 2.34-2.41
Be 0.7648 0.4031 0.4819  2 Be 2.22-2.43, 2 Si 2.34-2.41
Be 0.7075 0.1890 0.8550  2 Be 2.22-2.27, 1 Si 2.35
Be 0.2925 0.8110 0.1450  2 Be 2.22-2.27, 1 Si 2.35
Mo 0.7704 0.0100 0.2537  6 Si 2.44-2.60, 4 Be 2.52-2.65
Mo 0.2295 0.9900 0.7463  6 Si 2.44-2.60, 4 Be 2.52-2.65
Si 0.2472 0.2111 0.3247  5 Be 2.41-2.64, 3 Si 2.50-2.69, 3 Mo 2.53-2.60
Si 0.7528 0.7889 0.6753  5 Be 2.41-2.64, 3 Si 2.50-2.69, 3 Mo 2.53-2.60
Si 0.7618 0.5949 0.1061  2 Be 2.34-2.35, 3 Mo 2.44-2.57, 2 Si 2.49-2.50
Si 0.2382 0.4051 0.8939  2 Be 2.34-2.35, 3 Mo 2.44-2.57, 2 Si 2.49-2.50

Properties
formation energy (no corrections) = -0.106 eV/atom
total moment = 0.0 μB/f.u.
ρ = 4736 kg/m³
final energy = -59.3 eV for the cell shown

Record 2
A plane-wave DFT calculation with GGA-PBE was carried out for a geometry-optimized BeSiMo3 structure.

a b c (Å): 4.1969 4.1969 4.1969
angles (deg): 90.00 90.00 90.00
With the nearest neighbours (Å) after each atom.
Element x y z (fractional)
Mo 0.5000 0.0000 0.0000  2 Be 2.10
Mo 0.0000 0.0000 0.5000  2 Be 2.10
Mo 0.0000 0.5000 0.0000  2 Be 2.10
Si 0.5000 0.5000 0.5000  12 Mo 2.97
Be 0.0000 0.0000 0.0000  6 Mo 2.10

Properties
formation energy (no corrections) = 0.678 eV/atom
total moment = 0.0 μB/f.u.
energy relative to the lowest polymorph listed for this composition = 0 meV/atom
ρ = 7299 kg/m³
final energy = -38.3 eV for the cell shown

Record 3
A plane-wave DFT calculation with GGA-PBE was carried out for a geometry-optimized YBeSiMo2 structure.

a b c (Å): 4.5438 5.1318 4.5438
angles (deg): 90.00 90.00 90.00
With the nearest neighbours (Å) after each atom.
Element x y z (fractional)
Mo 0.5000 0.0000 0.0000  2 Si 2.27
Mo 0.0000 0.0000 0.5000  2 Si 2.27
Y 0.0000 0.5000 0.0000  2 Si 2.57
Si 0.0000 0.0000 0.0000  4 Mo 2.27
Be 0.5000 0.5000 0.5000  4 Y 3.21, 8 Mo 3.43

Properties
formation energy (no corrections) = 0.963 eV/atom
total moment = 0.0 μB/f.u.
ρ = 4982 kg/m³
final energy = -32.5 eV for the cell shown

Record 4
A plane-wave DFT calculation with GGA-PBE was carried out for a geometry-optimized BeSn3Mo structure.

a b c (Å): 4.8780 4.8780 4.8780
angles (deg): 90.00 90.00 90.00
With the nearest neighbours (Å) after each atom.
Element x y z (fractional)
Mo 0.5000 0.5000 0.5000  12 Sn 3.45
Be 0.0000 0.0000 0.0000  6 Sn 2.44
Sn 0.5000 0.0000 0.0000  2 Be 2.44
Sn 0.0000 0.5000 0.0000  2 Be 2.44
Sn 0.0000 0.0000 0.5000  2 Be 2.44

Properties
formation energy from the elements = 0.927 eV per atom
total moment = 3.7 μB/f.u.
energy relative to the lowest polymorph listed for this composition = 151 meV/atom
ρ = 6596 kg/m³
final energy = -21.9 eV for the cell shown

Record 5
A plane-wave DFT calculation with GGA-PBE was carried out for a geometry-optimized Be3SnMo structure.

a b c (Å): 4.3702 4.3702 4.3702
angles (deg): 90.00 90.00 90.00
With the nearest neighbours (Å) after each atom.
Element x y z (fractional)
Be 0.0000 0.0000 0.5000  2 Sn 2.19
Be 0.5000 0.0000 0.0000  2 Sn 2.19
Be 0.0000 0.5000 0.0000  2 Sn 2.19
Mo 0.5000 0.5000 0.5000  12 Be 3.09
Sn 0.0000 0.0000 0.0000  6 Be 2.19

Properties
formation energy from the elements = 1.741 eV per atom
total moment = 0.0 μB/f.u.
energy relative to the lowest polymorph listed for this composition = 633 meV/atom
ρ = 4808 kg/m³
final energy = -17.3 eV for the cell shown

Record 6
A plane-wave DFT calculation with GGA-PBE was carried out for a geometry-optimized Be3SnMo structure.

a b c (Å): 4.3725 4.3725 4.3725
angles (deg): 90.00 90.00 90.00
With the nearest neighbours (Å) after each atom.
Element x y z (fractional)
Be 0.0000 0.5000 0.0000  2 Mo 2.19
Be 0.0000 0.0000 0.5000  2 Mo 2.19
Be 0.5000 0.0000 0.0000  2 Mo 2.19
Sn 0.5000 0.5000 0.5000  12 Be 3.09
Mo 0.0000 0.0000 0.0000  6 Be 2.19

Properties
formation energy from the elements = 1.107 eV per atom
total moment = 0.0 μB/f.u.
energy relative to the lowest polymorph listed for this composition = 0 meV/atom
ρ = 4801 kg/m³
final energy = -20.5 eV for the cell shown

Record 7
A plane-wave DFT calculation with GGA-PBE was carried out for a geometry-optimized BeSn2Mo structure.

a b c (Å): 7.3931 7.3931 5.9396
angles (deg): 51.51 51.51 90.00
With the nearest neighbours (Å) after each atom.
Element x y z (fractional)
Mo 0.7500 0.2500 0.5000  2 Be 2.82, 4 Sn 2.93
Mo 0.0000 0.0000 0.0000  2 Be 2.82, 4 Sn 2.93
Sn 0.8750 0.8323 0.7500  2 Be 2.50
Sn 0.5823 0.1250 0.2500  2 Be 2.50
Sn 0.1677 0.6250 0.2500  2 Be 2.50
Sn 0.3750 0.4177 0.7500  2 Be 2.50
Be 0.2500 0.7500 0.5000  4 Sn 2.50
Be 0.5000 0.5000 0.0000  4 Sn 2.50

Properties
formation energy from the elements = 0.774 eV per atom
total moment = 1.9 μB/f.u.
ρ = 7378 kg/m³
final energy = -38.9 eV for the cell shown

Record 8
A plane-wave DFT calculation with GGA-PBE was carried out for a geometry-optimized BeSn3Mo structure.

a b c (Å): 5.2560 5.2560 5.2560
angles (deg): 90.00 90.00 90.00
With the nearest neighbours (Å) after each atom.
Element x y z (fractional)
Mo 0.0000 0.0000 0.0000  6 Sn 2.63
Sn 0.0000 0.5000 0.0000  2 Mo 2.63
Sn 0.0000 0.0000 0.5000  2 Mo 2.63
Sn 0.5000 0.0000 0.0000  2 Mo 2.63
Be 0.5000 0.5000 0.5000  12 Sn 3.72

Properties
formation energy from the elements = 0.776 eV per atom
total moment = 0.0 μB/f.u.
energy relative to the lowest polymorph listed for this composition = 0 meV/atom
ρ = 5273 kg/m³
final energy = -22.7 eV for the cell shown

Record 9
A plane-wave DFT calculation with GGA-PBE was carried out for a geometry-optimized BeSnMo structure.

a b c (Å): 5.4736 3.9390 6.9525
angles (deg): 105.90 113.09 45.68
With the nearest neighbours (Å) after each atom.
Element x y z (fractional)
Mo 0.7573 0.8278 0.2166  4 Be 2.58-2.60, 3 Mo 2.58-2.85
Mo 0.2916 0.8178 0.2166  4 Be 2.56-2.60, 3 Mo 2.58-2.85
Sn 0.4280 0.3472 0.5533  4 Be 2.57-2.80
Sn 0.0923 0.3475 0.8800  4 Be 2.57-2.80
Be 0.6537 0.3063 0.9541  4 Mo 2.56-2.60, 4 Sn 2.57-2.80
Be 0.9149 0.3058 0.4790  4 Mo 2.56-2.60, 4 Sn 2.57-2.80

Properties
formation energy from the elements = 0.141 eV per atom
total moment = 0.0 μB/f.u.
ρ = 7529 kg/m³
final energy = -36.3 eV for the cell shown

Record 10
A plane-wave DFT calculation with GGA-PBE was carried out for a geometry-optimized BeTlSn2Mo structure.

a b c (Å): 4.9058 4.6365 4.9058
angles (deg): 90.00 90.00 90.00
With the nearest neighbours (Å) after each atom.
Element x y z (fractional)
Sn 0.0000 0.0000 0.5000  2 Be 2.45
Sn 0.5000 0.0000 0.0000  2 Be 2.45
Be 0.0000 0.0000 0.0000  2 Mo 2.32, 4 Sn 2.45
Tl 0.5000 0.5000 0.5000  8 Sn 3.38, 4 Mo 3.47
Mo 0.0000 0.5000 0.0000  2 Be 2.32

Properties
formation energy from the elements = 0.711 eV per atom
total moment = 2.3 μB/f.u.
ρ = 8136 kg/m³
final energy = -21.4 eV for the cell shown

Record 11
A plane-wave DFT calculation with GGA-PBE was carried out for a geometry-optimized Y2BeSnMo structure.

a b c (Å): 5.3263 4.4854 5.3263
angles (deg): 90.00 90.00 90.00
With the nearest neighbours (Å) after each atom.
Element x y z (fractional)
Y 0.0000 0.0000 0.5000  2 Mo 2.66
Y 0.5000 0.0000 0.0000  2 Mo 2.66
Be 0.0000 0.5000 0.0000  2 Mo 2.24
Mo 0.0000 0.0000 0.0000  2 Be 2.24
Sn 0.5000 0.5000 0.5000  8 Y 3.48, 4 Be 3.77

Properties
formation energy from the elements = 0.528 eV per atom
total moment = 0.0 μB/f.u.
ρ = 5239 kg/m³
final energy = -28.8 eV for the cell shown

Record 12
A plane-wave DFT calculation with GGA-PBE was carried out for a geometry-optimized Sr4BeMo structure.

a b c (Å): 6.9053 6.9053 6.9053
angles (deg): 60.00 60.00 60.00
With the nearest neighbours (Å) after each atom.
Element x y z (fractional)
Mo 0.0000 0.0000 0.0000  12 Sr 4.05, 4 Be 4.23
Sr 0.3749 0.8754 0.3749  6 Sr 3.45-3.46
Sr 0.3749 0.3749 0.3749  6 Sr 3.45-3.46
Sr 0.3749 0.3749 0.8754  6 Sr 3.45-3.46
Sr 0.8754 0.3749 0.3749  6 Sr 3.45-3.46
Be 0.7500 0.7500 0.7500  12 Sr 4.05, 4 Mo 4.23

Properties
formation energy from the elements = 1.419 eV per atom
total moment = 3.9 μB/f.u.
ρ = 3248 kg/m³
final energy = -12.8 eV for the cell shown

Record 13
A plane-wave DFT calculation with GGA-PBE was carried out for a geometry-optimized SrBeMo2 structure.

a b c (Å): 3.2531 3.2532 7.2542
angles (deg): 90.00 90.00 90.00
With the nearest neighbours (Å) after each atom.
Element x y z (fractional)
Be 0.5000 0.5000 0.8358  5 Mo 2.41-2.54
Sr 0.0000 0.0000 0.5111  4 Sr 3.25, 4 Be 3.29, 5 Mo 3.39-3.44
Mo 0.5000 0.5000 0.1675  1 Be 2.41, 4 Mo 2.65
Mo 0.0000 0.0000 0.9857  4 Be 2.54, 4 Mo 2.65

Properties
formation energy from the elements = 0.436 eV per atom
total moment = 0.0 μB/f.u.
ρ = 6240 kg/m³
final energy = -25.3 eV for the cell shown

Record 14
A plane-wave DFT calculation with GGA-PBE was carried out for a geometry-optimized SrBe3Mo structure.

a b c (Å): 4.4664 4.4664 4.4664
angles (deg): 90.00 90.00 90.00
With the nearest neighbours (Å) after each atom.
Element x y z (fractional)
Mo 0.5000 0.5000 0.5000  12 Be 3.16
Sr 0.0000 0.0000 0.0000  6 Be 2.23
Be 0.5000 0.0000 0.0000  2 Sr 2.23
Be 0.0000 0.5000 0.0000  2 Sr 2.23
Be 0.0000 0.0000 0.5000  2 Sr 2.23

Properties
formation energy from the elements = 2.681 eV per atom
total moment = 0.0 μB/f.u.
energy relative to the lowest polymorph listed for this composition = 1989 meV/atom
ρ = 3925 kg/m³
final energy = -10.3 eV for the cell shown

Record 15
A plane-wave DFT calculation with GGA-PBE was carried out for a geometry-optimized SrBeMo2 structure.

a b c (Å): 9.9264 9.9264 9.9264
angles (deg): 16.66 16.66 16.66
With the nearest neighbours (Å) after each atom.
Element x y z (fractional)
Sr 0.2500 0.2500 0.2500  6 Sr 2.88
Be 0.7500 0.7500 0.7500  6 Mo 2.58, 6 Be 2.88
Mo 0.4840 0.4840 0.4840  3 Be 2.58, 6 Mo 2.88
Mo 0.0160 0.0160 0.0160  3 Be 2.58, 6 Mo 2.88

Properties
formation energy from the elements = 1.058 eV per atom
total moment = 0.0 μB/f.u.
ρ = 6837 kg/m³
final energy = -22.8 eV for the cell shown

Record 16
A plane-wave DFT calculation with GGA-PBE was carried out for a geometry-optimized SrBeMo4 structure.

a b c (Å): 5.4139 5.4139 5.4139
angles (deg): 60.00 60.00 60.00
With the nearest neighbours (Å) after each atom.
Element x y z (fractional)
Mo 0.3748 0.3748 0.3748  6 Mo 2.70-2.71
Mo 0.3748 0.3748 0.8755  6 Mo 2.70-2.71
Mo 0.8755 0.3748 0.3748  6 Mo 2.70-2.71
Mo 0.3748 0.8755 0.3748  6 Mo 2.70-2.71
Be 0.0000 0.0000 0.0000  12 Mo 3.17, 4 Sr 3.32
Sr 0.7500 0.7500 0.7500  12 Mo 3.17, 4 Be 3.32

Properties
formation energy from the elements = 0.867 eV per atom
total moment = 0.0 μB/f.u.
ρ = 7109 kg/m³
final energy = -43.5 eV for the cell shown

Record 17
A plane-wave DFT calculation with GGA-PBE was carried out for a geometry-optimized SrBeMo structure.

a b c (Å): 4.7341 4.7341 3.0391
angles (deg): 90.00 90.00 120.00
With the nearest neighbours (Å) after each atom.
Element x y z (fractional)
Sr 0.6667 0.3333 0.6668  2 Sr 3.04, 6 Be 3.13, 6 Mo 3.13
Be 0.0000 0.0000 0.1658  3 Mo 2.73, 2 Be 3.04
Mo 0.3333 0.6667 0.1674  3 Be 2.73, 2 Mo 3.04

Properties
formation energy from the elements = 1.094 eV per atom
total moment = 0.0 μB/f.u.
energy relative to the lowest polymorph listed for this composition = 414 meV/atom
ρ = 5421 kg/m³
final energy = -13.0 eV for the cell shown

Record 18
A plane-wave DFT calculation with GGA-PBE was carried out for a geometry-optimized SrBeMo structure.

a b c (Å): 3.7684 3.7684 5.3832
angles (deg): 90.00 90.00 120.00
With the nearest neighbours (Å) after each atom.
Element x y z (fractional)
Mo 0.3333 0.6667 0.2186  3 Be 2.28
Be 0.0000 0.0000 0.0932  3 Mo 2.28
Sr 0.6667 0.3333 0.6882  3 Be 3.08, 3 Mo 3.34

Properties
formation energy from the elements = 0.914 eV per atom
total moment = 0.0 μB/f.u.
energy relative to the lowest polymorph listed for this composition = 234 meV/atom
ρ = 4830 kg/m³
final energy = -13.5 eV for the cell shown

Record 19
A plane-wave DFT calculation with GGA-PBE was carried out for a geometry-optimized SrBe3Mo structure.

a b c (Å): 4.5435 4.5435 4.5435
angles (deg): 90.00 90.00 90.00
With the nearest neighbours (Å) after each atom.
Element x y z (fractional)
Be 0.0000 0.0000 0.5000  2 Mo 2.27
Be 0.0000 0.5000 0.0000  2 Mo 2.27
Be 0.5000 0.0000 0.0000  2 Mo 2.27
Sr 0.5000 0.5000 0.5000  12 Be 3.21
Mo 0.0000 0.0000 0.0000  6 Be 2.27

Properties
formation energy from the elements = 0.691 eV per atom
total moment = 0.0 μB/f.u.
energy relative to the lowest polymorph listed for this composition = 0 meV/atom
ρ = 3729 kg/m³
final energy = -20.2 eV for the cell shown

Record 20
A plane-wave DFT calculation with GGA-PBE was carried out for a geometry-optimized SrBeMo2 structure.

a b c (Å): 4.4503 4.4503 6.1893
angles (deg): 76.25 76.25 44.88
With the nearest neighbours (Å) after each atom.
Element x y z (fractional)
Mo 0.9865 0.9865 0.0254  3 Be 2.44-2.52, 3 Mo 2.58-2.61
Mo 0.7225 0.7225 0.8658  2 Be 2.40, 3 Mo 2.58-2.61
Sr 0.5248 0.5248 0.4890  2 Be 3.12, 5 Mo 3.17-3.42, 2 Sr 3.40
Be 0.2663 0.2663 0.1198  5 Mo 2.40-2.52

Properties
formation energy from the elements = 0.596 eV per atom
total moment = 0.0 μB/f.u.
ρ = 5732 kg/m³
final energy = -24.7 eV for the cell shown